# 1
The following is a PBE calculation of CrMoHIr2 after structural relaxation, from Alexandria via LeMat-Bulk.

abc: 3.8797 3.8797 3.9349
angles: 90.00 90.00 90.00
With the nearest neighbours (Å) after each atom.
Atoms (fractional coordinates):
Cr1 0.0000 0.0000 0.0000  2 H 1.97
Mo1 0.5000 0.5000 0.0000  4 Cr 2.74, 8 Ir 2.76
H1 0.0000 0.0000 0.5000  4 Ir 1.94, 2 Cr 1.97
Ir1 0.0000 0.5000 0.5000  2 H 1.94
Ir2 0.5000 0.0000 0.5000  2 H 1.94

Computed properties:
Size of the total moment (Bohr magnetons per cell): 0.932
Final energy (eV per cell): -42.08
D(E_F) (states/eV/f.u.): 1.7
Relative energy among the computed polymorphs (meV/atom): 0
Symmetry: P4/mmm (123)

***

# 2
The following is a PBE calculation of MgRe2P after structural relaxation, from Alexandria via LeMat-Bulk.

abc: 8.4154 8.4154 8.4154
angles: 19.89 19.89 19.89
With the nearest neighbours (Å) after each atom.
Atoms (fractional coordinates):
Mg1 0.0000 0.0000 0.0000  6 Re 2.89, 6 Mg 2.91
Re1 0.2381 0.2381 0.2381  3 P 2.44
Re2 0.7619 0.7619 0.7619  3 P 2.44
P1 0.5000 0.5000 0.5000  6 Re 2.44

Computed properties:
Size of the total moment (Bohr magnetons per cell): 0.000
Final energy (eV per cell): -31.33
D(E_F) (states/eV/f.u.): 3.5
Relative energy among the computed polymorphs (meV/atom): 156
Symmetry: R-3m (166)
Formation energy from the elements (eV per atom): 0.143

***

# 3
The following is a PBE calculation of Cs3Bi2S4 after structural relaxation, from Alexandria via LeMat-Bulk.

abc: 10.1831 10.1831 8.9093
angles: 97.48 97.48 57.35
With the nearest neighbours (Å) after each atom.
Atoms (fractional coordinates):
Cs1 0.0320 0.9680 0.7500  6 S 3.54-3.84
Cs2 0.2648 0.5060 0.0552  5 S 3.49-3.71
Cs3 0.4940 0.7352 0.4448  5 S 3.49-3.71
Cs4 0.5060 0.2648 0.5552  5 S 3.49-3.71
Cs5 0.7352 0.4940 0.9448  5 S 3.49-3.71
Cs6 0.9680 0.0320 0.2500  6 S 3.54-3.84
Bi1 0.0512 0.3447 0.5926  2 S 2.52-2.56
Bi2 0.3447 0.0512 0.0926  2 S 2.52-2.56
Bi3 0.6553 0.9488 0.9074  2 S 2.52-2.56
Bi4 0.9488 0.6553 0.4074  2 S 2.52-2.56
S1 0.1358 0.2410 0.9052  1 Bi 2.56
S2 0.1984 0.6542 0.4580  1 Bi 2.52
S3 0.2410 0.1358 0.4052  1 Bi 2.56
S4 0.3458 0.8016 0.0420  1 Bi 2.52
S5 0.6542 0.1984 0.9580  1 Bi 2.52
S6 0.7590 0.8642 0.5948  1 Bi 2.56
S7 0.8016 0.3458 0.5420  1 Bi 2.52
S8 0.8642 0.7590 0.0948  1 Bi 2.56

Computed properties:
Size of the total moment (Bohr magnetons per cell): 0.000
Final energy (eV per cell): -67.11
Energy relative to the elements, uncorrected (eV/atom): -0.75
D(E_F) (states/eV/f.u.): 3.0
Symmetry: C2/c (15)

***

# 4
The following is a PBE calculation of Mn2Ir9Ru after structural relaxation, from Alexandria via LeMat-Bulk.

abc: 3.8364 3.8364 11.5318
angles: 90.00 90.00 90.00
With the nearest neighbours (Å) after each atom.
Atoms (fractional coordinates):
Mn1 0.0000 0.0000 0.1628  12 Ir 2.68-2.74
Mn2 0.0000 0.0000 0.8372  12 Ir 2.68-2.74
Ir1 0.0000 0.5000 0.0000  4 Mn 2.68, 8 Ir 2.71-2.72
Ir2 0.0000 0.5000 0.3330  8 Ir 2.71-2.72, 2 Ru 2.72, 2 Mn 2.74
Ir3 0.0000 0.5000 0.6670  8 Ir 2.71-2.72, 2 Ru 2.72, 2 Mn 2.74
Ir4 0.5000 0.0000 0.0000  4 Mn 2.68, 8 Ir 2.71-2.72
Ir5 0.5000 0.0000 0.3330  8 Ir 2.71-2.72, 2 Ru 2.72, 2 Mn 2.74
Ir6 0.5000 0.0000 0.6670  8 Ir 2.71-2.72, 2 Ru 2.72, 2 Mn 2.74
Ir7 0.5000 0.5000 0.1668  8 Ir 2.71-2.72, 4 Mn 2.71
Ir8 0.5000 0.5000 0.5000  4 Ru 2.71, 8 Ir 2.72
Ir9 0.5000 0.5000 0.8332  8 Ir 2.71-2.72, 4 Mn 2.71
Ru1 0.0000 0.0000 0.5000  12 Ir 2.71-2.72

Computed properties:
Size of the total moment (Bohr magnetons per cell): 4.793
Final energy (eV per cell): -108.83
D(E_F) (states/eV/f.u.): 10.7
Symmetry: P4/mmm (123)
Formation energy from the elements (eV per atom): -0.122

***

# 5
The following is a PBE calculation of DyHo4Pu3Se8 after structural relaxation, from Alexandria via LeMat-Bulk.

abc: 8.2052 8.2052 8.2052
angles: 59.57 59.57 59.57
With the nearest neighbours (Å) after each atom.
Atoms (fractional coordinates):
Dy1 0.0000 0.0000 0.0000  6 Se 2.90
Ho1 0.0000 0.0000 0.5000  6 Se 2.86-2.87
Ho2 0.0000 0.5000 0.0000  6 Se 2.86-2.87
Ho3 0.5000 0.0000 0.0000  6 Se 2.86-2.87
Ho4 0.5000 0.5000 0.5000  6 Se 2.89
Pu1 0.0000 0.5000 0.5000  6 Se 2.92
Pu2 0.5000 0.0000 0.5000  6 Se 2.92
Pu3 0.5000 0.5000 0.0000  6 Se 2.92
Se1 0.2457 0.7495 0.7495  3 Ho 2.86-2.89, 1 Dy 2.90, 2 Pu 2.92
Se2 0.2477 0.2477 0.2477  3 Ho 2.87, 3 Pu 2.92
Se3 0.2505 0.2505 0.7543  3 Ho 2.86-2.89, 1 Dy 2.90, 2 Pu 2.92
Se4 0.2505 0.7543 0.2505  3 Ho 2.86-2.89, 1 Dy 2.90, 2 Pu 2.92
Se5 0.7495 0.2457 0.7495  3 Ho 2.86-2.89, 1 Dy 2.90, 2 Pu 2.92
Se6 0.7495 0.7495 0.2457  3 Ho 2.86-2.89, 1 Dy 2.90, 2 Pu 2.92
Se7 0.7523 0.7523 0.7523  3 Ho 2.87, 3 Pu 2.92
Se8 0.7543 0.2505 0.2505  3 Ho 2.86-2.89, 1 Dy 2.90, 2 Pu 2.92

Computed properties:
Size of the total moment (Bohr magnetons per cell): 17.732
Final energy (eV per cell): -120.74
Energy relative to the elements, uncorrected (eV/atom): -1.68
D(E_F) (states/eV/f.u.): 26.0
Symmetry: R-3m (166)

***

# 6
The following is a PBE calculation of KInMo2 after structural relaxation, from Alexandria via LeMat-Bulk.

abc: 2.8011 5.4139 5.4561
angles: 90.00 90.00 90.00
With the nearest neighbours (Å) after each atom.
Atoms (fractional coordinates):
K1 0.0000 0.0000 0.0000  2 K 2.80, 4 In 3.05, 4 Mo 3.07
In1 0.5000 0.5000 0.0000  2 In 2.80, 4 K 3.05, 4 Mo 3.07
Mo1 0.0000 0.5000 0.5000  6 Mo 2.80-3.05, 4 In 3.07
Mo2 0.5000 0.0000 0.5000  6 Mo 2.80-3.05, 4 K 3.07

Computed properties:
Size of the total moment (Bohr magnetons per cell): 0.819
Final energy (eV per cell): -20.51
D(E_F) (states/eV/f.u.): 4.2
Symmetry: Pmmm (47)
Formation energy from the elements (eV per atom): 1.248

***

# 7
The following is a PBE calculation of Er2InSi3Pt4 after structural relaxation, from Alexandria via LeMat-Bulk.

abc: 4.1281 4.1281 10.7230
angles: 90.00 90.00 90.00
With the nearest neighbours (Å) after each atom.
Atoms (fractional coordinates):
Er1 0.0000 0.5000 0.2382  8 Pt 3.13-3.28, 6 Si 3.15-3.48, 2 In 3.48
Er2 0.5000 0.0000 0.7618  8 Pt 3.13-3.28, 6 Si 3.15-3.48, 2 In 3.48
In1 0.0000 0.0000 0.5000  4 Pt 2.66, 4 Si 2.92
Si1 0.0000 0.5000 0.8731  5 Pt 2.32-2.47
Si2 0.5000 0.0000 0.1269  5 Pt 2.32-2.47
Si3 0.5000 0.5000 0.5000  4 Pt 2.66, 4 In 2.92
Pt1 0.0000 0.0000 0.0000  4 Si 2.47
Pt2 0.0000 0.5000 0.6567  1 Si 2.32
Pt3 0.5000 0.0000 0.3433  1 Si 2.32
Pt4 0.5000 0.5000 0.0000  4 Si 2.47

Computed properties:
Size of the total moment (Bohr magnetons per cell): 0.000
Final energy (eV per cell): -61.92
Energy relative to the elements, uncorrected (eV/atom): -0.96
D(E_F) (states/eV/f.u.): 4.8
Symmetry: P-4m2 (115)

***

# 8
The following is a PBE calculation of Hf5Mg2H12 after structural relaxation, from Alexandria via LeMat-Bulk.

abc: 6.1019 6.1019 6.3122
angles: 111.63 111.63 57.55
With the nearest neighbours (Å) after each atom.
Atoms (fractional coordinates):
Hf1 0.0000 0.0000 0.0000  6 H 2.16-2.18
Hf2 0.2879 0.2879 0.6336  8 H 1.96-2.13
Hf3 0.2941 0.2941 0.1122  7 H 2.04-2.17
Hf4 0.7059 0.7059 0.8878  7 H 2.04-2.17
Hf5 0.7121 0.7121 0.3664  8 H 1.96-2.13
Mg1 0.2312 0.7688 0.5000  6 H 1.96-2.05
Mg2 0.7688 0.2312 0.5000  6 H 1.96-2.05
H1 0.0859 0.0859 0.3806  2 Mg 1.96, 2 Hf 2.08-2.18
H2 0.1122 0.4974 0.3938  3 Hf 1.96-2.07, 1 Mg 1.96, 1 H 2.04
H3 0.1219 0.5797 0.9225  1 H 2.04, 4 Hf 2.05-2.17
H4 0.4203 0.8781 0.0775  1 H 2.04, 4 Hf 2.05-2.17
H5 0.4974 0.1122 0.3938  3 Hf 1.96-2.07, 1 Mg 1.96, 1 H 2.04
H6 0.4970 0.4970 0.7052  2 Hf 2.04-2.09, 2 Mg 2.05
H7 0.5030 0.5030 0.2948  2 Hf 2.04-2.09, 2 Mg 2.05
H8 0.5026 0.8878 0.6062  3 Hf 1.96-2.07, 1 Mg 1.96, 1 H 2.04
H9 0.5797 0.1219 0.9225  1 H 2.04, 4 Hf 2.05-2.17
H10 0.8781 0.4203 0.0775  1 H 2.04, 4 Hf 2.05-2.17
H11 0.8878 0.5026 0.6062  3 Hf 1.96-2.07, 1 Mg 1.96, 1 H 2.04
H12 0.9141 0.9141 0.6194  2 Mg 1.96, 2 Hf 2.08-2.18

Computed properties:
Size of the total moment (Bohr magnetons per cell): 0.000
Final energy (eV per cell): -96.76
D(E_F) (states/eV/f.u.): 5.6
Symmetry: C2/m (12)

***

# 9
The following is a PBE calculation of SmRe2Tc after structural relaxation, from Alexandria via LeMat-Bulk.

abc: 6.4943 4.6053 10.0643
angles: 90.00 90.00 90.00
With the nearest neighbours (Å) after each atom.
Atoms (fractional coordinates):
Sm1 0.2492 0.2500 0.1745  6 Re 2.93-3.15, 2 Tc 3.04
Sm2 0.2508 0.7500 0.6745  6 Re 2.93-3.15, 2 Tc 3.04
Sm3 0.7492 0.2500 0.3255  6 Re 2.93-3.15, 2 Tc 3.04
Sm4 0.7508 0.7500 0.8255  6 Re 2.93-3.15, 2 Tc 3.04
Re1 0.0633 0.2500 0.8859  3 Re 2.53-2.73, 2 Tc 2.54-2.69
Re2 0.2494 0.2500 0.4657  3 Tc 2.52-2.82, 3 Re 2.53-2.73
Re3 0.2506 0.7500 0.9657  3 Tc 2.52-2.82, 3 Re 2.53-2.73
Re4 0.4367 0.7500 0.3859  3 Re 2.53-2.73, 2 Tc 2.54-2.69
Re5 0.5633 0.2500 0.6141  3 Re 2.53-2.73, 2 Tc 2.54-2.69
Re6 0.7494 0.2500 0.0343  3 Tc 2.52-2.82, 3 Re 2.53-2.73
Re7 0.7506 0.7500 0.5343  3 Tc 2.52-2.82, 3 Re 2.53-2.73
Re8 0.9367 0.7500 0.1141  3 Re 2.53-2.73, 2 Tc 2.54-2.69
Tc1 0.0463 0.7500 0.3715  5 Re 2.52-2.82
Tc2 0.4537 0.2500 0.8715  5 Re 2.52-2.82
Tc3 0.5463 0.7500 0.1285  5 Re 2.52-2.82
Tc4 0.9537 0.2500 0.6285  5 Re 2.52-2.82

Computed properties:
Size of the total moment (Bohr magnetons per cell): 0.000
Final energy (eV per cell): -157.53
D(E_F) (states/eV/f.u.): 3.2
Symmetry: Pnma (62)
Formation energy from the elements (eV per atom): 0.150

***

# 10
The following is a PBE calculation of Y2AlSbW after structural relaxation, from Alexandria via LeMat-Bulk.

abc: 5.3407 5.3407 4.8755
angles: 90.00 90.00 90.00
With the nearest neighbours (Å) after each atom.
Atoms (fractional coordinates):
Y1 0.0000 0.5000 0.0000  2 Al 2.67
Y2 0.5000 0.0000 0.0000  2 Al 2.67
Al1 0.0000 0.0000 0.0000  2 Sb 2.44, 4 Y 2.67
Sb1 0.0000 0.0000 0.5000  2 Al 2.44
W1 0.5000 0.5000 0.5000  8 Y 3.62, 4 Sb 3.78

Computed properties:
Size of the total moment (Bohr magnetons per cell): 0.006
Final energy (eV per cell): -27.69
Energy relative to the elements, uncorrected (eV/atom): 1.21
D(E_F) (states/eV/f.u.): 4.4
Symmetry: P4/mmm (123)

***

# 11
The following is a PBE calculation of Tb2PmSmTl4 after structural relaxation, from Alexandria via LeMat-Bulk.

abc: 9.4136 9.4136 9.4136
angles: 33.53 33.53 33.53
With the nearest neighbours (Å) after each atom.
Atoms (fractional coordinates):
Tb1 0.2499 0.2499 0.2499  8 Tl 3.32-3.34
Tb2 0.7501 0.7501 0.7501  8 Tl 3.32-3.34
Pm1 0.0000 0.0000 0.0000  8 Tl 3.33
Sm1 0.5000 0.5000 0.5000  8 Tl 3.32
Tl1 0.1252 0.1252 0.1252  4 Tb 3.32-3.33, 3 Sm 3.32, 1 Pm 3.33
Tl2 0.3752 0.3752 0.3752  1 Sm 3.32, 4 Tb 3.32-3.34, 3 Pm 3.33
Tl3 0.6248 0.6248 0.6248  1 Sm 3.32, 4 Tb 3.32-3.34, 3 Pm 3.33
Tl4 0.8748 0.8748 0.8748  4 Tb 3.32-3.33, 3 Sm 3.32, 1 Pm 3.33

Computed properties:
Size of the total moment (Bohr magnetons per cell): 0.000
Final energy (eV per cell): -31.12
D(E_F) (states/eV/f.u.): 6.5
Symmetry: R-3m (166)
Formation energy from the elements (eV per atom): -0.366

***

# 12
The following is a PBE calculation of RbI after structural relaxation, from Alexandria via LeMat-Bulk.

abc: 10.1855 10.1855 10.1855
angles: 90.00 90.00 90.00
With the nearest neighbours (Å) after each atom.
Atoms (fractional coordinates):
Rb1 0.0000 0.2500 0.5000  4 I 3.60
Rb2 0.0000 0.7500 0.5000  4 I 3.60
Rb3 0.2500 0.5000 0.0000  4 I 3.60
Rb4 0.5000 0.0000 0.2500  4 I 3.60
Rb5 0.5000 0.0000 0.7500  4 I 3.60
Rb6 0.7500 0.5000 0.0000  4 I 3.60
I1 0.0000 0.5000 0.2500  4 Rb 3.60
I2 0.0000 0.5000 0.7500  4 Rb 3.60
I3 0.2500 0.0000 0.5000  4 Rb 3.60
I4 0.5000 0.2500 0.0000  4 Rb 3.60
I5 0.5000 0.7500 0.0000  4 Rb 3.60
I6 0.7500 0.0000 0.5000  4 Rb 3.60

Computed properties:
Size of the total moment (Bohr magnetons per cell): 0.454
Final energy (eV per cell): -31.87
Energy relative to the elements, uncorrected (eV/atom): -1.40
D(E_F) (states/eV/f.u.): 0.0
Symmetry: Pm-3n (223)

***

# 13
The following is a PBE calculation of GdMnAgRh after structural relaxation, from Alexandria via LeMat-Bulk.

abc: 4.7691 4.7691 4.7691
angles: 60.00 60.00 60.00
With the nearest neighbours (Å) after each atom.
Atoms (fractional coordinates):
Gd1 0.0000 0.0000 0.0000  4 Rh 2.92, 4 Ag 2.92
Mn1 0.5000 0.5000 0.5000  4 Rh 2.92, 4 Ag 2.92
Ag1 0.2500 0.2500 0.2500  4 Mn 2.92, 4 Gd 2.92
Rh1 0.7500 0.7500 0.7500  4 Gd 2.92, 4 Mn 2.92

Computed properties:
Size of the total moment (Bohr magnetons per cell): 11.594
Final energy (eV per cell): -34.05
D(E_F) (states/eV/f.u.): 3.1
Symmetry: F-43m (216)
Formation energy from the elements (eV per atom): -0.149

***

# 14
The following is a PBE calculation of Li7BrCl5 after structural relaxation, from Alexandria via LeMat-Bulk.

abc: 6.3320 6.3320 21.7023
angles: 90.00 90.00 33.59
With the nearest neighbours (Å) after each atom.
Atoms (fractional coordinates):
Li1 0.0000 0.0000 0.0000  5 Cl 2.50-2.58
Li2 0.9999 0.9999 0.2902  5 Cl 2.50-2.58
Li3 0.1738 0.1738 0.5000  5 Cl 2.50-2.58
Li4 0.1740 0.1740 0.7902  5 Cl 2.50-2.58
Li5 0.2544 0.2544 0.0779  3 Cl 2.58-2.64
Li6 0.2558 0.2558 0.2128  3 Cl 2.58-2.65
Li7 0.4507 0.4507 0.4313  6 Cl 2.50-2.65
Li8 0.4506 0.4506 0.8592  6 Cl 2.49-2.67
Li9 0.5752 0.5752 0.1458  2 Cl 2.50-2.52, 2 Br 2.79
Li10 0.5986 0.5986 0.6456  2 Cl 2.51, 2 Br 2.79
Li11 0.7232 0.7232 0.3593  6 Cl 2.49-2.67
Li12 0.7230 0.7230 0.9315  6 Cl 2.50-2.66
Li13 0.9183 0.9183 0.7126  3 Cl 2.58-2.65
Li14 0.9193 0.9193 0.5777  3 Cl 2.57-2.64
Br1 0.2728 0.2728 0.6463  6 Li 2.79-2.95
Br2 0.9011 0.9011 0.1467  6 Li 2.79-2.96
Cl1 0.0869 0.0869 0.3954  6 Li 2.50-2.59
Cl2 0.0868 0.0868 0.8954  6 Li 2.50-2.59
Cl3 0.3595 0.3595 0.3203  6 Li 2.58-2.65
Cl4 0.3592 0.3592 0.9712  6 Li 2.58-2.67
Cl5 0.5461 0.5461 0.5336  6 Li 2.50-2.57
Cl6 0.5458 0.5458 0.7573  6 Li 2.49-2.58
Cl7 0.6275 0.6275 0.0337  6 Li 2.50-2.58
Cl8 0.6281 0.6281 0.2573  6 Li 2.49-2.58
Cl9 0.8145 0.8145 0.4711  6 Li 2.58-2.67
Cl10 0.8144 0.8144 0.8203  6 Li 2.58-2.66

Computed properties:
Size of the total moment (Bohr magnetons per cell): 1.964
Final energy (eV per cell): -88.56
Energy relative to the elements, uncorrected (eV/atom): -1.54
D(E_F) (states/eV/f.u.): 0.9
Symmetry: Cm (8)